# 1
A plane-wave DFT calculation with PBE was carried out for a relaxed Ca3Tl4In2 crystal.

a = 6.397 Å, b = 6.397 Å, c = 9.741 Å
α = 114.58°, β = 114.58°, γ = 47.34°
Sites, in units of the cell vectors:
Ca1 0.000 0.000 0.000
Ca2 0.340 0.340 0.327
Ca3 0.660 0.660 0.673
Tl1 0.031 0.031 0.359
Tl2 0.314 0.314 0.973
Tl3 0.686 0.686 0.027
Tl4 0.969 0.969 0.641
In1 0.348 0.348 0.680
In2 0.652 0.652 0.320

Results
Energy of formation: -0.2981 eV per atom

***

# 2
A plane-wave DFT calculation with PBE was carried out for a relaxed Ca2Tl3In2 crystal.

a = 6.020 Å, b = 6.020 Å, c = 7.377 Å
α = 92.97°, β = 92.97°, γ = 48.92°
Sites, in units of the cell vectors:
Ca1 0.096 0.096 0.233
Ca2 0.904 0.904 0.767
Tl1 0.204 0.204 0.682
Tl2 0.500 0.500 0.500
Tl3 0.796 0.796 0.318
In1 0.377 0.377 0.077
In2 0.623 0.623 0.923

Results
Energy of formation: -0.2575 eV per atom

***

# 3
A plane-wave DFT calculation with PBE was carried out for a relaxed Ca4Tl7In crystal.

a = 5.663 Å, b = 7.695 Å, c = 9.034 Å
α = 112.11°, β = 90.48°, γ = 90.55°
Sites, in units of the cell vectors:
Ca1 0.248 0.411 0.308
Ca2 0.249 0.903 0.273
Ca3 0.751 0.097 0.727
Ca4 0.752 0.589 0.692
Tl1 0.000 0.500 0.000
Tl2 0.250 0.798 0.609
Tl3 0.253 0.073 0.957
Tl4 0.255 0.294 0.636
Tl5 0.745 0.706 0.364
Tl6 0.747 0.927 0.043
Tl7 0.750 0.202 0.391
In1 0.500 0.500 0.000

Results
Energy of formation: -0.2364 eV per atom

***

# 4
A plane-wave DFT calculation with PBE was carried out for a relaxed Ca6Tl5In crystal.

a = 5.498 Å, b = 7.730 Å, c = 8.712 Å
α = 90.00°, β = 108.13°, γ = 90.00°
Sites, in units of the cell vectors:
Ca1 0.000 0.250 0.000
Ca2 0.000 0.750 0.000
Ca3 0.334 0.250 0.667
Ca4 0.334 0.750 0.667
Ca5 0.666 0.250 0.333
Ca6 0.666 0.750 0.333
Tl1 0.165 0.000 0.332
Tl2 0.166 0.500 0.334
Tl3 0.500 0.500 0.000
Tl4 0.834 0.500 0.666
Tl5 0.835 0.000 0.668
In1 0.500 0.000 0.000

Results
Energy of formation: -0.4457 eV per atom

***

# 5
A plane-wave DFT calculation with PBE was carried out for a relaxed Ca11Tl9In4 crystal.

a = 13.850 Å, b = 13.850 Å, c = 3.883 Å
α = 90.00°, β = 90.00°, γ = 108.37°
Sites, in units of the cell vectors:
Ca1 0.000 0.000 0.000
Ca2 0.065 0.407 0.000
Ca3 0.177 0.823 0.000
Ca4 0.238 0.238 0.000
Ca5 0.358 0.642 0.000
Ca6 0.407 0.065 0.000
Ca7 0.593 0.935 0.000
Ca8 0.642 0.358 0.000
Ca9 0.762 0.762 0.000
Ca10 0.823 0.177 0.000
Ca11 0.935 0.593 0.000
Tl1 0.030 0.202 0.500
Tl2 0.147 0.617 0.500
Tl3 0.202 0.030 0.500
Tl4 0.383 0.853 0.500
Tl5 0.500 0.500 0.500
Tl6 0.617 0.147 0.500
Tl7 0.798 0.970 0.500
Tl8 0.853 0.383 0.500
Tl9 0.970 0.798 0.500
In1 0.264 0.437 0.500
In2 0.437 0.264 0.500
In3 0.563 0.736 0.500
In4 0.736 0.563 0.500

Results
Energy of formation: -0.3904 eV per atom

***

# 6
A plane-wave DFT calculation with PBE was carried out for a relaxed Ca4Tl5In2 crystal.

a = 8.623 Å, b = 3.780 Å, c = 9.993 Å
α = 90.00°, β = 90.90°, γ = 90.00°
Sites, in units of the cell vectors:
Ca1 0.218 0.000 0.132
Ca2 0.252 0.000 0.621
Ca3 0.748 0.000 0.379
Ca4 0.782 0.000 0.868
Tl1 0.124 0.500 0.876
Tl2 0.434 0.500 0.346
Tl3 0.500 0.500 0.000
Tl4 0.566 0.500 0.654
Tl5 0.876 0.500 0.124
In1 0.081 0.500 0.374
In2 0.919 0.500 0.626

Results
Energy of formation: -0.3166 eV per atom
ΔE to the lowest computed polymorph: 0 meV per atom

***

Q: Which of these has the lowest energy of formation?
A: Ca6Tl5In

***

Q: Among the records above, which one has the highest energy of formation?
A: Ca4Tl7In

***

Q: Number 5 is which compound?
A: Ca11Tl9In4